MgInCu3 | PBE | optimized geometry

Structure (POSCAR):
```
MgInCu3
1.0
4.8031 0.0000 0.0000
0.0000 4.8031 0.0000
0.0000 0.0000 4.8031
Mg In Cu
1 1 3
Direct
0.0000 0.0000 0.0000
0.5000 0.5000 0.5000
0.0000 0.5000 0.5000
0.5000 0.0000 0.5000
0.5000 0.5000 0.0000
```

polymorph energy (0 for the lowest one): 0 meV/atom
SG: Pm-3m
DFT formation energy: 707 meV/atom